#i
VASP calculation (PBE) on Cu12Pd6Au after structural relaxation.

a = 6.4536 Å, b = 6.4536 Å, c = 6.4536 Å
α = 92.42°, β = 92.42°, γ = 92.42°
Sites, in units of the cell vectors:
1 Cu 0.5485 0.2115 0.4647
2 Cu 0.2115 0.4647 0.5485
3 Cu 0.4647 0.5485 0.2115
4 Cu 0.4515 0.7885 0.5353
5 Cu 0.7885 0.5353 0.4515
6 Cu 0.5353 0.4515 0.7885
7 Cu 0.9476 0.8527 0.6229
8 Cu 0.3771 0.0524 0.1473
9 Cu 0.1473 0.3771 0.0524
10 Cu 0.0524 0.1473 0.3771
11 Cu 0.6229 0.9476 0.8527
12 Cu 0.8527 0.6229 0.9476
13 Pd 0.2868 0.1195 0.7291
14 Pd 0.8805 0.2709 0.7132
15 Pd 0.2709 0.7132 0.8805
16 Pd 0.7132 0.8805 0.2709
17 Pd 0.1195 0.7291 0.2868
18 Pd 0.7291 0.2868 0.1195
19 Au 0.0000 0.0000 0.0000

## Properties
density of states at the Fermi level	0.30	states/eV/atom
total magnetization	0.00	μB/atom

---

#ii
VASP calculation (PBE) on Cu12Pd6Au after structural relaxation.

a = 6.9797 Å, b = 6.9797 Å, c = 6.9797 Å
α = 106.66°, β = 106.66°, γ = 106.66°
Sites, in units of the cell vectors:
1 Cu 0.8902 0.1098 0.5000
2 Cu 0.8951 0.6592 0.6592
3 Cu 0.6592 0.6592 0.8951
4 Cu 0.3408 0.1049 0.3408
5 Cu 0.3408 0.3408 0.1049
6 Cu 0.1049 0.3408 0.3408
7 Cu 0.1098 0.5000 0.8902
8 Cu 0.5000 0.8902 0.1098
9 Cu 0.1098 0.8902 0.5000
10 Cu 0.8902 0.5000 0.1098
11 Cu 0.5000 0.1098 0.8902
12 Cu 0.6592 0.8951 0.6592
13 Pd 0.7038 0.3062 0.3062
14 Pd 0.3062 0.3062 0.7038
15 Pd 0.3062 0.7038 0.3062
16 Pd 0.6938 0.6938 0.2962
17 Pd 0.2962 0.6938 0.6938
18 Pd 0.6938 0.2962 0.6938
19 Au 0.0000 0.0000 0.0000

## Properties
density of states at the Fermi level	0.26	states/eV/atom
total magnetization	0.00	μB/atom

---

Winner for stability: #i

---

#i
VASP calculation (PBE) on CuPd2Au2 after structural relaxation.

a = 4.9313 Å, b = 6.1269 Å, c = 2.8689 Å
α = 76.54°, β = 73.15°, γ = 95.34°
Sites, in units of the cell vectors:
1 Cu 0.0000 0.5000 0.0000
2 Pd 0.8034 0.1127 0.7925
3 Pd 0.1966 0.8873 0.2075
4 Au 0.3847 0.2990 0.4082
5 Au 0.6153 0.7010 0.5918

## Properties
density of states at the Fermi level	0.30	states/eV/atom
total magnetization	0.00	μB/atom

---

#ii
VASP calculation (PBE) on CuPd2Au2 after structural relaxation.

a = 3.9327 Å, b = 4.8906 Å, c = 10.2404 Å
α = 108.49°, β = 78.93°, γ = 66.29°
Sites, in units of the cell vectors:
1 Cu 0.5021 0.2497 0.7462
2 Cu 0.4979 0.7503 0.2538
3 Pd 0.1017 0.2454 0.5511
4 Pd 0.7064 0.7415 0.8458
5 Pd 0.8983 0.7546 0.4489
6 Pd 0.2936 0.2585 0.1542
7 Au 0.7021 0.2465 0.3494
8 Au 0.9012 0.2501 0.9476
9 Au 0.2979 0.7535 0.6506
10 Au 0.0988 0.7499 0.0524

## Properties
density of states at the Fermi level	0.31	states/eV/atom
total magnetization	0.00	μB/atom

---

Winner for stability: #ii

---

#i
VASP calculation (PBE) on CuPd3Au after structural relaxation.

a = 4.8418 Å, b = 4.8588 Å, c = 7.3658 Å
α = 83.44°, β = 70.82°, γ = 69.85°
Sites, in units of the cell vectors:
1 Cu 0.8536 0.8444 0.0111
2 Cu 0.5574 0.3441 0.6037
3 Pd 0.1535 0.3444 0.4107
4 Pd 0.9551 0.3443 0.8080
5 Pd 0.6565 0.8445 0.4055
6 Pd 0.7546 0.3444 0.2091
7 Pd 0.2576 0.8445 0.2037
8 Pd 0.4560 0.8446 0.8064
9 Au 0.3572 0.3447 0.0035
10 Au 0.0540 0.8442 0.6110

## Properties
density of states at the Fermi level	1.31	states/eV/atom
total magnetization	0.00	μB/atom

---

#ii
VASP calculation (PBE) on CuPd3Au after structural relaxation.

a = 2.8484 Å, b = 6.8051 Å, c = 8.8021 Å
α = 90.00°, β = 90.00°, γ = 102.19°
Sites, in units of the cell vectors:
1 Cu 0.3591 0.2173 0.2500
2 Cu 0.6409 0.7827 0.7500
3 Pd 0.8466 0.1923 0.0073
4 Pd 0.1534 0.8077 0.9927
5 Pd 0.8466 0.1923 0.4927
6 Pd 0.1534 0.8077 0.5073
7 Pd 0.6992 0.8987 0.2500
8 Pd 0.3008 0.1013 0.7500
9 Au 0.0196 0.5387 0.2500
10 Au 0.9804 0.4613 0.7500

## Properties
density of states at the Fermi level	1.46	states/eV/atom
total magnetization	0.00	μB/atom

---

#iii
VASP calculation (PBE) on CuPd3Au after structural relaxation.

a = 4.5656 Å, b = 4.5656 Å, c = 4.5656 Å
α = 90.00°, β = 90.00°, γ = 90.00°
Sites, in units of the cell vectors:
1 Au 0.5000 0.5000 0.5000
2 Cu 0.0000 0.0000 0.0000
3 Pd 0.0000 0.5000 0.0000
4 Pd 0.0000 0.0000 0.5000
5 Pd 0.5000 0.0000 0.0000

## Properties
density of states at the Fermi level	0.85	states/eV/atom
total magnetization	0.00	μB/atom

---

Winner for stability: #i

---

#i
VASP calculation (PBE) on Cu7Pd3Au after structural relaxation.

a = 4.6617 Å, b = 6.4170 Å, c = 6.4170 Å
α = 90.39°, β = 110.67°, γ = 110.67°
Sites, in units of the cell vectors:
1 Cu 0.1657 0.1768 0.1768
2 Cu 0.3294 0.0731 0.5856
3 Cu 0.6706 0.4144 0.9269
4 Cu 0.3294 0.5856 0.0731
5 Cu 0.0000 0.5000 0.5000
6 Cu 0.6706 0.9269 0.4144
7 Cu 0.8343 0.8232 0.8232
8 Pd 0.0000 0.7698 0.2302
9 Pd 0.5000 0.0000 0.0000
10 Pd 0.0000 0.2302 0.7698
11 Au 0.5000 0.5000 0.5000

## Properties
density of states at the Fermi level	0.36	states/eV/atom
total magnetization	0.00	μB/atom

---

#ii
VASP calculation (PBE) on Cu7Pd3Au after structural relaxation.

a = 2.7101 Å, b = 10.0420 Å, c = 11.9130 Å
α = 90.00°, β = 90.00°, γ = 97.76°
Sites, in units of the cell vectors:
1 Cu 0.3818 0.7636 0.7500
2 Cu 0.6182 0.2364 0.2500
3 Cu 0.5362 0.0723 0.4170
4 Cu 0.4638 0.9277 0.5830
5 Cu 0.4638 0.9277 0.9170
6 Cu 0.5362 0.0723 0.0830
7 Cu 0.4049 0.8098 0.3981
8 Cu 0.5951 0.1902 0.6019
9 Cu 0.2765 0.5531 0.4179
10 Cu 0.7235 0.4469 0.5821
11 Cu 0.7235 0.4469 0.9179
12 Cu 0.2765 0.5531 0.0821
13 Cu 0.4049 0.8098 0.1019
14 Cu 0.5951 0.1902 0.8981
15 Pd 0.1490 0.2981 0.4329
16 Pd 0.8510 0.7019 0.5671
17 Pd 0.1712 0.3424 0.7500
18 Pd 0.8288 0.6576 0.2500
19 Pd 0.1490 0.2981 0.0671
20 Pd 0.8510 0.7019 0.9329
21 Au 0.9806 0.9612 0.2500
22 Au 0.0194 0.0388 0.7500

## Properties
density of states at the Fermi level	0.29	states/eV/atom
total magnetization	0.00	μB/atom

---

Winner for stability: #ii

---

#i
VASP calculation (PBE) on CuPd4Au2 after structural relaxation.

a = 6.7548 Å, b = 6.7548 Å, c = 6.7548 Å
α = 70.81°, β = 70.39°, γ = 109.61°
Sites, in units of the cell vectors:
1 Au 0.1340 0.5090 0.1250
2 Au 0.6340 0.1250 0.7410
3 Au 0.8660 0.7410 0.6250
4 Au 0.3660 0.6250 0.5090
5 Pd 0.7540 0.0447 0.3565
6 Pd 0.7460 0.5407 0.3605
7 Pd 0.0988 0.2053 0.5407
8 Pd 0.4012 0.3565 0.8895
9 Pd 0.2540 0.8935 0.2053
10 Pd 0.9012 0.3605 0.8935
11 Pd 0.5988 0.7093 0.0447
12 Pd 0.2460 0.8895 0.7093
13 Cu 0.5000 0.2500 0.2500
14 Cu 0.0000 0.0000 0.0000

## Properties
density of states at the Fermi level	1.27	states/eV/atom
total magnetization	0.00	μB/atom

---

#ii
VASP calculation (PBE) on CuPd4Au2 after structural relaxation.

a = 2.7723 Å, b = 6.8366 Å, c = 6.8587 Å
α = 116.74°, β = 101.66°, γ = 90.00°
Sites, in units of the cell vectors:
1 Cu 0.0000 0.0000 0.0000
2 Pd 0.9256 0.2901 0.8512
3 Pd 0.0744 0.7099 0.1488
4 Pd 0.6268 0.3915 0.2535
5 Pd 0.3732 0.6085 0.7465
6 Au 0.7791 0.8413 0.5582
7 Au 0.2209 0.1587 0.4418

## Properties
density of states at the Fermi level	1.13	states/eV/atom
total magnetization	0.00	μB/atom

---

Winner for stability: #ii

---

#i
VASP calculation (PBE) on Cu6PdAu12 after structural relaxation.

a = 6.9835 Å, b = 7.5088 Å, c = 7.5088 Å
α = 69.16°, β = 71.94°, γ = 108.06°
Sites, in units of the cell vectors:
1 Cu 0.4200 0.4699 0.2162
2 Cu 0.0499 0.6861 0.5301
3 Cu 0.3638 0.7838 0.6861
4 Cu 0.5800 0.5301 0.7838
5 Cu 0.9501 0.3139 0.4699
6 Cu 0.6362 0.2162 0.3139
7 Pd 0.0000 0.0000 0.0000
8 Au 0.5218 0.8518 0.2740
9 Au 0.6700 0.8743 0.8518
10 Au 0.7958 0.2740 0.8743
11 Au 0.4782 0.1482 0.7260
12 Au 0.3300 0.1257 0.1482
13 Au 0.2042 0.7260 0.1257
14 Au 0.2631 0.4291 0.6237
15 Au 0.1132 0.3763 0.0527
16 Au 0.1659 0.0527 0.5709
17 Au 0.7369 0.5709 0.3763
18 Au 0.8868 0.6237 0.9473
19 Au 0.8341 0.9473 0.4291

## Properties
density of states at the Fermi level	0.31	states/eV/atom
total magnetization	0.00	μB/atom

---

#ii
VASP calculation (PBE) on Cu6PdAu12 after structural relaxation.

a = 7.2307 Å, b = 7.2307 Å, c = 7.2307 Å
α = 104.80°, β = 104.80°, γ = 104.80°
Sites, in units of the cell vectors:
1 Cu 0.7544 0.8211 0.5784
2 Cu 0.4216 0.2456 0.1789
3 Cu 0.1789 0.4216 0.2456
4 Cu 0.2456 0.1789 0.4216
5 Cu 0.5784 0.7544 0.8211
6 Cu 0.8211 0.5784 0.7544
7 Pd 0.0000 0.0000 0.0000
8 Au 0.8136 0.4724 0.3661
9 Au 0.3661 0.8136 0.4724
10 Au 0.4724 0.3661 0.8136
11 Au 0.1864 0.5276 0.6339
12 Au 0.6339 0.1864 0.5276
13 Au 0.5276 0.6339 0.1864
14 Au 0.9628 0.8336 0.3066
15 Au 0.1664 0.6934 0.0372
16 Au 0.6934 0.0372 0.1664
17 Au 0.0372 0.1664 0.6934
18 Au 0.8336 0.3066 0.9628
19 Au 0.3066 0.9628 0.8336

## Properties
density of states at the Fermi level	0.35	states/eV/atom
total magnetization	0.00	μB/atom

---

Winner for stability: #i

---

#i
VASP calculation (PBE) on Cu2Pd7Au3 after structural relaxation.

a = 4.8970 Å, b = 4.8972 Å, c = 8.7949 Å
α = 79.52°, β = 79.52°, γ = 110.55°
Sites, in units of the cell vectors:
1 Cu 0.3338 0.3338 0.3329
2 Cu 0.6662 0.6662 0.6671
3 Pd 0.7500 0.2500 0.5000
4 Pd 0.2500 0.7500 0.5000
5 Pd 0.9151 0.4153 0.1701
6 Pd 0.0000 0.0000 0.0000
7 Pd 0.0849 0.5847 0.8299
8 Pd 0.5847 0.0848 0.8299
9 Pd 0.4153 0.9152 0.1701
10 Au 0.5000 0.5000 0.0000
11 Au 0.8311 0.8311 0.3385
12 Au 0.1689 0.1689 0.6615

## Properties
density of states at the Fermi level	0.99	states/eV/atom
total magnetization	0.00	μB/atom

---

#ii
VASP calculation (PBE) on Cu2Pd7Au3 after structural relaxation.

a = 2.7637 Å, b = 5.0699 Å, c = 14.0474 Å
α = 74.78°, β = 90.00°, γ = 90.00°
Sites, in units of the cell vectors:
1 Cu 0.5000 0.6286 0.3279
2 Cu 0.5000 0.3714 0.6721
3 Pd 0.5000 0.7466 0.5022
4 Pd 0.5000 0.2534 0.4978
5 Pd 0.0000 0.5624 0.1719
6 Pd 0.0000 0.0000 0.0000
7 Pd 0.0000 0.4376 0.8281
8 Pd 0.5000 0.9457 0.8302
9 Pd 0.5000 0.0543 0.1698
10 Au 0.5000 0.5000 0.0000
11 Au 0.0000 0.1148 0.3390
12 Au 0.0000 0.8852 0.6610

## Properties
density of states at the Fermi level	0.95	states/eV/atom
total magnetization	0.00	μB/atom

---

Winner for stability: #i

---

#i
VASP calculation (PBE) on Cu2Pd3Au after structural relaxation.

a = 2.9439 Å, b = 2.9439 Å, c = 10.2083 Å
α = 90.00°, β = 90.00°, γ = 90.00°
Sites, in units of the cell vectors:
1 Cu 0.5000 0.5000 0.8455
2 Cu 0.5000 0.5000 0.1545
3 Pd 0.0000 0.0000 0.0000
4 Pd 0.0000 0.0000 0.6912
5 Pd 0.0000 0.0000 0.3088
6 Au 0.5000 0.5000 0.5000

## Properties
density of states at the Fermi level	0.99	states/eV/atom
total magnetization	0.00	μB/atom

---

#ii
VASP calculation (PBE) on Cu2Pd3Au after structural relaxation.

a = 3.9860 Å, b = 6.3153 Å, c = 7.4413 Å
α = 90.00°, β = 90.00°, γ = 71.60°
Sites, in units of the cell vectors:
1 Cu 0.0000 0.0000 0.0000
2 Cu 0.0000 0.0000 0.5000
3 Cu 0.3324 0.3353 0.5000
4 Cu 0.6676 0.6647 0.5000
5 Pd 0.8348 0.3304 0.7320
6 Pd 0.4999 0.0000 0.2693
7 Pd 0.1652 0.6696 0.2680
8 Pd 0.8347 0.3304 0.2680
9 Pd 0.1653 0.6696 0.7320
10 Pd 0.5001 0.0000 0.7307
11 Au 0.3387 0.3227 0.0000
12 Au 0.6613 0.6773 0.0000

## Properties
density of states at the Fermi level	0.67	states/eV/atom
total magnetization	0.00	μB/atom

---

Winner for stability: #i

---

#i
VASP calculation (PBE) on CuPd2Au6 after structural relaxation.

a = 7.1260 Å, b = 7.4181 Å, c = 7.1260 Å
α = 65.58°, β = 87.27°, γ = 65.58°
Sites, in units of the cell vectors:
1 Cu 0.8617 0.7500 0.1383
2 Cu 0.1383 0.2500 0.8617
3 Pd 0.4573 0.9172 0.2030
4 Pd 0.7970 0.5828 0.5427
5 Pd 0.5427 0.0828 0.7970
6 Pd 0.2030 0.4172 0.4573
7 Au 0.4320 0.5250 0.6785
8 Au 0.3215 0.9750 0.5680
9 Au 0.5680 0.4750 0.3215
10 Au 0.6785 0.0250 0.4320
11 Au 0.9078 0.1458 0.6434
12 Au 0.3566 0.3542 0.0922
13 Au 0.0922 0.8542 0.3566
14 Au 0.6434 0.6458 0.9078
15 Au 0.2174 0.8184 0.9921
16 Au 0.0079 0.6816 0.7826
17 Au 0.7826 0.1816 0.0079
18 Au 0.9921 0.3184 0.2174

## Properties
density of states at the Fermi level	0.28	states/eV/atom
total magnetization	0.00	μB/atom

---

#ii
VASP calculation (PBE) on CuPd2Au6 after structural relaxation.

a = 4.8442 Å, b = 4.4964 Å, c = 8.4703 Å
α = 97.55°, β = 90.00°, γ = 122.59°
Sites, in units of the cell vectors:
1 Cu 0.0000 0.0000 0.5000
2 Pd 0.6673 0.3346 0.9420
3 Pd 0.3327 0.6654 0.0580
4 Au 0.0000 0.0000 0.8321
5 Au 0.6691 0.3383 0.2732
6 Au 0.3309 0.6617 0.7268
7 Au 0.6670 0.3340 0.6048
8 Au 0.3330 0.6660 0.3952
9 Au 0.0000 0.0000 0.1679

## Properties
density of states at the Fermi level	0.42	states/eV/atom
total magnetization	0.00	μB/atom

---

Winner for stability: #ii